# 1
Material: BaNa2Sn4
Method: DFT, PBE
State: relaxed

ΔE to the lowest computed polymorph: 0 meV per atom
E_form: -0.39 eV/atom
Total DFT energy (no corrections): -3.326 eV per atom
Symmetry: No. 15
Density of states at the Fermi level: 1.43 states/eV/cell

a = 6.740 Å, b = 6.969 Å, c = 10.229 Å
α = 109.92°, β = 93.48°, γ = 90.00°
Positions (direct):
Ba (0.250, 0.767, 0.000)
Ba (0.750, 0.233, 0.000)
Na (0.298, 0.400, 0.599)
Na (0.798, 0.199, 0.599)
Na (0.702, 0.600, 0.401)
Na (0.202, 0.801, 0.401)
Sn (0.985, 0.827, 0.687)
Sn (0.231, 0.203, 0.841)
Sn (0.731, 0.638, 0.841)
Sn (0.769, 0.797, 0.159)
Sn (0.515, 0.140, 0.313)
Sn (0.015, 0.173, 0.313)
Sn (0.269, 0.362, 0.159)
Sn (0.485, 0.860, 0.687)

=====

# 2
Material: GaAg4Hg
Method: DFT, PBE
State: relaxed

ΔE to the lowest computed polymorph: 87 meV per atom
E_form: 0.13 eV/atom
Total DFT energy (no corrections): -2.329 eV per atom
Symmetry: No. 216
Density of states at the Fermi level: 1.95 states/eV/cell

a = 5.566 Å, b = 5.566 Å, c = 5.566 Å
α = 60.00°, β = 60.00°, γ = 60.00°
Positions (direct):
Hg (0.250, 0.250, 0.250)
Ag (0.625, 0.625, 0.625)
Ag (0.625, 0.125, 0.625)
Ag (0.125, 0.625, 0.625)
Ag (0.625, 0.625, 0.125)
Ga (0.000, 0.000, 0.000)

=====

# 3
Material: Ge3Te5S12
Method: DFT, PBE
State: relaxed

Total DFT energy (no corrections): -3.685 eV per atom
Symmetry: No. 230
Density of states at the Fermi level: 29.81 states/eV/cell
Formation energy without anion corrections: 0.27 eV/atom

a = 13.947 Å, b = 13.947 Å, c = 13.947 Å
α = 109.47°, β = 109.47°, γ = 109.47°
Positions (direct):
S (0.860, 0.581, 0.913)
S (0.413, 0.360, 0.581)
S (0.780, 0.332, 0.919)
S (0.220, 0.668, 0.081)
S (0.081, 0.913, 0.360)
S (0.140, 0.720, 0.553)
S (0.280, 0.860, 0.947)
S (0.587, 0.640, 0.419)
S (0.332, 0.553, 0.413)
S (0.919, 0.087, 0.640)
S (0.668, 0.220, 0.581)
S (0.413, 0.053, 0.332)
S (0.168, 0.087, 0.947)
S (0.913, 0.832, 0.553)
S (0.053, 0.640, 0.720)
S (0.780, 0.447, 0.360)
S (0.720, 0.140, 0.053)
S (0.860, 0.280, 0.447)
S (0.581, 0.720, 0.668)
S (0.581, 0.860, 0.413)
S (0.947, 0.360, 0.280)
S (0.081, 0.168, 0.220)
S (0.913, 0.081, 0.860)
S (0.919, 0.832, 0.780)
S (0.220, 0.553, 0.640)
S (0.668, 0.447, 0.587)
S (0.947, 0.587, 0.168)
S (0.553, 0.220, 0.140)
S (0.087, 0.919, 0.140)
S (0.553, 0.332, 0.913)
S (0.832, 0.913, 0.053)
S (0.332, 0.780, 0.419)
S (0.087, 0.168, 0.447)
S (0.280, 0.419, 0.832)
S (0.140, 0.419, 0.087)
S (0.447, 0.668, 0.087)
S (0.447, 0.780, 0.860)
S (0.168, 0.081, 0.720)
S (0.360, 0.413, 0.081)
S (0.587, 0.947, 0.668)
S (0.053, 0.413, 0.832)
S (0.419, 0.280, 0.332)
S (0.419, 0.140, 0.587)
S (0.640, 0.587, 0.919)
S (0.720, 0.581, 0.168)
S (0.832, 0.919, 0.280)
S (0.360, 0.947, 0.780)
S (0.640, 0.053, 0.220)
Te (0.625, 0.875, 0.250)
Te (0.000, 0.000, 0.500)
Te (0.875, 0.250, 0.625)
Te (0.375, 0.125, 0.750)
Te (0.750, 0.125, 0.875)
Te (0.500, 0.000, 0.000)
Te (0.125, 0.375, 0.250)
Te (0.875, 0.625, 0.750)
Te (0.375, 0.250, 0.125)
Te (0.000, 0.500, 0.000)
Te (0.000, 0.000, 0.000)
Te (0.500, 0.500, 0.000)
Te (0.750, 0.625, 0.375)
Te (0.500, 0.000, 0.500)
Te (0.250, 0.375, 0.625)
Te (0.125, 0.750, 0.375)
Te (0.625, 0.750, 0.875)
Te (0.250, 0.875, 0.125)
Te (0.000, 0.500, 0.500)
Te (0.500, 0.500, 0.500)
Ge (0.625, 0.375, 0.750)
Ge (0.375, 0.750, 0.625)
Ge (0.125, 0.250, 0.875)
Ge (0.875, 0.125, 0.250)
Ge (0.750, 0.375, 0.125)
Ge (0.875, 0.750, 0.125)
Ge (0.750, 0.875, 0.625)
Ge (0.375, 0.625, 0.250)
Ge (0.125, 0.875, 0.750)
Ge (0.250, 0.125, 0.375)
Ge (0.625, 0.250, 0.375)
Ge (0.250, 0.625, 0.875)

=====

# 4
Material: Tc3SnN
Method: DFT, PBE
State: relaxed

ΔE to the lowest computed polymorph: 545 meV per atom
Total DFT energy (no corrections): -8.098 eV per atom
Symmetry: No. 99
Density of states at the Fermi level: 1.77 states/eV/cell
Formation energy without anion corrections: 0.59 eV/atom

a = 4.092 Å, b = 4.092 Å, c = 6.159 Å
α = 90.00°, β = 90.00°, γ = 90.00°
Positions (direct):
Tc (0.000, 0.500, 0.471)
Tc (0.000, 0.000, 0.694)
Tc (0.500, 0.000, 0.471)
Sn (0.000, 0.000, 0.140)
N (0.500, 0.500, 0.489)